CdCS3 | PBE | optimized geometry

Computed properties:
Offset from the most stable computed form = 1117 meV per atom
Uncorrected formation energy = 2149 meV per atom
N(E_F) = 1.624 states/eV per atom

The structure in POSCAR format:
```
CdCS3
1.0
-1.671 2.289 4.190
-4.328 1.149 -2.353
-2.017 -4.362 1.579
S C Cd
3 1 1
direct
0.000 0.500 0.000
0.000 0.000 0.500
0.500 0.000 0.000
0.500 0.500 0.500
0.000 0.000 0.000
```

Cd2CS | PBE | optimized geometry

Computed properties:
Offset from the most stable computed form = 0 meV per atom
Uncorrected formation energy = 823 meV per atom
N(E_F) = 0.438 states/eV per atom

The structure in POSCAR format:
```
Cd2CS
1.0
-0.249 5.391 2.074
-0.923 -2.086 5.312
4.422 1.563 4.528
S C Cd
2 2 4
direct
0.000 0.000 0.000
0.750 0.250 0.500
0.500 0.500 0.000
0.250 0.750 0.500
0.575 0.125 0.250
0.175 0.625 0.250
0.375 0.425 0.750
0.875 0.825 0.750
```

Cd3CS | PBE | optimized geometry

Computed properties:
Offset from the most stable computed form = 0 meV per atom
Uncorrected formation energy = 447 meV per atom
N(E_F) = 0.000 states/eV per atom

The structure in POSCAR format:
```
Cd3CS
1.0
4.564 0.000 0.000
0.000 4.564 0.000
0.000 0.000 4.564
S C Cd
1 1 3
direct
0.500 0.500 0.500
0.000 0.000 0.000
0.000 0.500 0.000
0.000 0.000 0.500
0.500 0.000 0.000
```

Cd2TeCS | PBE | optimized geometry

Computed properties:
Uncorrected formation energy = 1686 meV per atom
N(E_F) = 0.596 states/eV per atom

The structure in POSCAR format:
```
Cd2TeCS
1.0
5.779 0.000 0.000
0.000 5.043 0.000
0.000 0.000 5.779
S Te C Cd
1 1 1 2
direct
0.000 0.500 0.000
0.000 0.000 0.000
0.500 0.500 0.500
0.000 0.000 0.500
0.500 0.000 0.000
```

Th6CdC3S2 | PBE | optimized geometry

Computed properties:
Uncorrected formation energy = -776 meV per atom
N(E_F) = 0.663 states/eV per atom

The structure in POSCAR format:
```
Th6CdC3S2
1.0
3.839 0.000 0.000
0.000 8.329 -0.138
-1.920 -2.854 8.491
Th Cd C S
6 1 3 2
direct
0.320 0.941 0.641
0.660 0.600 0.320
0.680 0.059 0.359
0.988 0.288 0.975
0.012 0.712 0.025
0.340 0.400 0.680
0.500 0.000 0.000
0.500 0.500 0.000
0.831 0.173 0.662
0.169 0.827 0.338
0.835 0.671 0.669
0.165 0.329 0.331
```

CdSb2C | PBE | optimized geometry

Computed properties:
Offset from the most stable computed form = 745 meV per atom
Uncorrected formation energy = 1443 meV per atom
N(E_F) = 1.028 states/eV per atom

The structure in POSCAR format:
```
CdSb2C
1.0
0.000 3.486 3.486
3.486 0.000 3.486
3.486 3.486 0.000
Sb C Cd
2 1 1
direct
0.250 0.250 0.250
0.750 0.750 0.750
0.000 0.000 0.000
0.500 0.500 0.500
```

Cd2SbC | PBE | optimized geometry

Computed properties:
Offset from the most stable computed form = 373 meV per atom
Uncorrected formation energy = 1427 meV per atom
N(E_F) = 0.672 states/eV per atom

The structure in POSCAR format:
```
Cd2SbC
1.0
0.000 3.450 3.450
3.450 0.000 3.450
3.450 3.450 0.000
Sb C Cd
1 1 2
direct
0.500 0.500 0.500
0.000 0.000 0.000
0.250 0.250 0.250
0.750 0.750 0.750
```

CdSbC3 | PBE | optimized geometry

Computed properties:
Offset from the most stable computed form = 0 meV per atom
Uncorrected formation energy = 2739 meV per atom
N(E_F) = 0.996 states/eV per atom

The structure in POSCAR format:
```
CdSbC3
1.0
-4.059 0.231 1.378
0.978 -2.554 3.309
0.998 3.443 2.362
Sb C Cd
1 3 1
direct
0.000 0.000 0.000
0.000 0.500 0.000
0.000 0.000 0.500
0.500 0.000 0.000
0.500 0.500 0.500
```

CdSbC3 | PBE | optimized geometry

Computed properties:
Offset from the most stable computed form = 423 meV per atom
Uncorrected formation energy = 3163 meV per atom
N(E_F) = 0.701 states/eV per atom

The structure in POSCAR format:
```
CdSbC3
1.0
-2.242 -1.398 3.432
2.625 -3.431 0.317
2.616 2.244 2.623
Sb C Cd
1 3 1
direct
0.500 0.500 0.500
0.000 0.500 0.000
0.000 0.000 0.500
0.500 0.000 0.000
0.000 0.000 0.000
```

Cd2SbC | PBE | optimized geometry

Computed properties:
Offset from the most stable computed form = 0 meV per atom
Uncorrected formation energy = 1054 meV per atom
N(E_F) = 0.642 states/eV per atom

The structure in POSCAR format:
```
Cd2SbC
1.0
6.397 0.000 0.000
0.000 6.397 0.000
3.199 3.199 4.680
Sb C Cd
2 2 4
direct
0.000 0.000 0.000
0.750 0.250 0.500
0.500 0.500 0.000
0.250 0.750 0.500
0.518 0.125 0.250
0.232 0.625 0.250
0.375 0.482 0.750
0.875 0.768 0.750
```

CdSb2C | PBE | optimized geometry

Computed properties:
Offset from the most stable computed form = 0 meV per atom
Uncorrected formation energy = 698 meV per atom
N(E_F) = 0.000 states/eV per atom

The structure in POSCAR format:
```
CdSb2C
1.0
6.160 0.000 0.000
0.000 6.160 0.000
3.080 3.080 5.138
Sb C Cd
4 2 2
direct
0.547 0.125 0.250
0.203 0.625 0.250
0.375 0.453 0.750
0.875 0.797 0.750
0.500 0.500 0.000
0.250 0.750 0.500
0.000 0.000 0.000
0.750 0.250 0.500
```

CdSbC2Se | PBE | optimized geometry

Computed properties:
Uncorrected formation energy = 1884 meV per atom
N(E_F) = 0.584 states/eV per atom

The structure in POSCAR format:
```
CdSbC2Se
1.0
-1.474 3.587 1.704
-1.741 -2.950 4.703
3.763 0.682 1.820
Sb C Se Cd
1 2 1 1
direct
0.000 0.000 0.000
0.000 0.000 0.500
0.500 0.000 0.000
0.000 0.500 0.000
0.500 0.500 0.500
```